# AgSn2OsCl

A relaxed structure of AgSn2OsCl (PBE, Alexandria via LeMat-Bulk).

Summary:
- Crystal system: tetragonal
- M_tot: 0.00 Bohr magnetons per cell
- Formation energy without anion corrections: 1124 meV/atom
- Energy: -3.6626 eV per atom

abc: 5.509 4.246 5.509
angles: 90.00 90.00 90.00
Element x y z (fractional)
Sn1 0.000 0.000 0.500
Cl1 0.000 0.000 0.000
Ag1 0.500 0.500 0.500
Sn2 0.500 0.000 0.000
Os1 0.000 0.500 0.000

# Pu2Ni3P4Ir

A relaxed structure of Pu2Ni3P4Ir (PBE, Alexandria via LeMat-Bulk).

Summary:
- Crystal system: tetragonal
- M_tot: 10.55 Bohr magnetons per cell
- Energy: -8.4781 eV per atom
- DFT formation energy: -8.27 eV/f.u.

abc: 4.024 4.024 9.215
angles: 90.00 90.00 90.00
Site moments in Bohr magnetons follow the coordinates.
Element x y z (fractional)
Ni1 0.000 0.500 0.113  0.08
Pu1 0.500 0.000 0.236  5.03
P1 0.000 0.000 0.000  -0.03
Ni2 0.000 0.000 0.500  0.10
P2 0.500 0.500 0.000  -0.03
Pu2 0.000 0.500 0.764  5.03
Ni3 0.500 0.000 0.887  0.08
P3 0.000 0.500 0.357  -0.02
Ir1 0.500 0.500 0.500  -0.03
P4 0.500 0.000 0.643  -0.02

# KMgFe2

A relaxed structure of KMgFe2 (PBE, Alexandria via LeMat-Bulk).

Summary:
- Crystal system: trigonal
- M_tot: 4.97 Bohr magnetons per cell
- Offset from the most stable computed form: 0.4037 eV per atom
- Energy: -4.0162 eV per atom
- DFT formation energy: 3.55 eV/f.u.

abc: 10.532 10.532 10.532
angles: 15.62 15.62 15.62
Site moments in Bohr magnetons follow the coordinates.
Element x y z (fractional)
Fe1 0.010 0.010 0.010  2.70
Fe2 0.490 0.490 0.490  2.70
K1 0.250 0.250 0.250  -0.07
Mg1 0.750 0.750 0.750  -0.02

# Cr2AsRu

A relaxed structure of Cr2AsRu (PBE, Alexandria via LeMat-Bulk).

Summary:
- Crystal system: orthorhombic
- M_tot: 0.00 Bohr magnetons per cell
- Energy: -7.9389 eV per atom
- DFT formation energy: 1.42 eV/f.u.

abc: 2.728 2.728 8.024
angles: 90.00 90.00 114.30
Element x y z (fractional)
Cr1 0.500 0.500 0.237
As1 0.500 0.500 0.760
Cr2 0.000 0.000 0.014
Ru1 0.000 0.000 0.490

# CaPr2Hg3

A relaxed structure of CaPr2Hg3 (PBE, Alexandria via LeMat-Bulk).

Summary:
- Crystal system: trigonal
- M_tot: 0.61 Bohr magnetons per cell
- Offset from the most stable computed form: 0.0000 eV per atom
- Energy: -2.5978 eV per atom
- DFT formation energy: -3.12 eV/f.u.

abc: 5.422 5.422 13.332
angles: 90.00 90.00 120.00
Site moments in Bohr magnetons follow the coordinates.
Element x y z (fractional)
Hg1 0.000 0.000 0.748  0.00
Hg2 0.333 0.667 0.417  0.00
Ca1 0.667 0.333 0.334  0.00
Pr1 0.667 0.333 0.827  0.07
Hg3 0.667 0.333 0.085  0.01
Hg4 0.333 0.667 0.915  0.01
Hg5 0.000 0.000 0.252  0.00
Hg6 0.667 0.333 0.583  0.00
Ca2 0.333 0.667 0.666  0.00
Pr2 0.000 0.000 0.000  0.13
Pr3 0.000 0.000 0.500  0.00
Pr4 0.333 0.667 0.173  0.07

# Ca2MgSi3Au12

A relaxed structure of Ca2MgSi3Au12 (PBE, Alexandria via LeMat-Bulk).

Summary:
- Crystal system: trigonal
- M_tot: 0.00 Bohr magnetons per cell
- Formation energy without anion corrections: -142 meV/atom
- Energy: -3.5416 eV per atom

abc: 7.702 7.702 7.702
angles: 72.00 72.00 72.00
Element x y z (fractional)
Si1 0.000 0.500 0.000
Au1 0.308 0.850 0.308
Au2 0.850 0.308 0.308
Au3 0.851 0.851 0.370
Ca1 0.399 0.399 0.399
Au4 0.630 0.149 0.149
Au5 0.149 0.630 0.149
Au6 0.370 0.851 0.851
Si2 0.500 0.000 0.000
Ca2 0.601 0.601 0.601
Mg1 0.000 0.000 0.000
Au7 0.308 0.308 0.850
Au8 0.692 0.150 0.692
Si3 0.000 0.000 0.500
Au9 0.851 0.370 0.851
Au10 0.150 0.692 0.692
Au11 0.149 0.149 0.630
Au12 0.692 0.692 0.150

# Tb3NdDyTh

A relaxed structure of Tb3NdDyTh (PBE, Alexandria via LeMat-Bulk).

Summary:
- Crystal system: monoclinic
- M_tot: 0.00 Bohr magnetons per cell
- Energy: -5.0832 eV per atom
- DFT formation energy: 0.18 eV/f.u.

abc: 5.071 8.004 10.763
angles: 116.59 90.00 90.00
Element x y z (fractional)
Tb1 0.750 0.378 0.208
Dy1 0.750 0.374 0.872
Th1 0.750 0.877 0.377
Tb2 0.250 0.631 0.456
Tb3 0.250 0.622 0.792
Tb4 0.750 0.873 0.043
Tb5 0.250 0.127 0.957
Tb6 0.750 0.369 0.544
Th2 0.250 0.123 0.623
Nd1 0.750 0.881 0.707
Dy2 0.250 0.626 0.128
Nd2 0.250 0.119 0.293

# ZrPIr4

A relaxed structure of ZrPIr4 (PBE, Alexandria via LeMat-Bulk).

Summary:
- Crystal system: cubic
- M_tot: 0.00 Bohr magnetons per cell
- Energy: -8.2049 eV per atom
- DFT formation energy: 0.17 eV/f.u.

abc: 5.214 5.214 5.214
angles: 60.00 60.00 60.00
Element x y z (fractional)
Ir1 0.875 0.375 0.375
P1 0.750 0.750 0.750
Ir2 0.375 0.375 0.375
Ir3 0.375 0.875 0.375
Ir4 0.375 0.375 0.875
Zr1 0.000 0.000 0.000

# K2RbAuCl

A relaxed structure of K2RbAuCl (PBE, Alexandria via LeMat-Bulk).

Summary:
- Crystal system: tetragonal
- M_tot: 0.00 Bohr magnetons per cell
- Offset from the most stable computed form: 0.1156 eV per atom
- Formation energy without anion corrections: -740 meV/atom
- Energy: -2.3970 eV per atom

abc: 5.953 5.953 6.296
angles: 90.00 90.00 90.00
Element x y z (fractional)
K1 0.000 0.500 0.000
Au1 0.500 0.500 0.500
Cl1 0.000 0.000 0.000
K2 0.500 0.000 0.000
Rb1 0.000 0.000 0.500

Look up the M_tot of the fourth one. 0.00 Bohr magnetons per cell

Which value of energy does entry 7 give? -5.0832 eV per atom